A plane-wave DFT calculation with PBE was carried out for a relaxed structure of Er4GaNi2Sn4.

Structure (POSCAR):
```
Er4GaNi2Sn4
1.0
7.8141 -2.2863 0.0000
7.8141 2.2863 0.0000
-2.3719 0.0000 6.9041
Er Ga Ni Sn
4 1 2 4
Cartesian
5.3315 0.0000 0.3005
8.2949 0.0000 2.7461
4.9613 0.0000 4.1580
7.9247 0.0000 6.6036
0.0000 0.0000 0.0000
11.2905 0.0000 2.4164
1.9657 0.0000 4.4877
2.4732 0.0000 1.8616
13.7958 0.0000 2.1855
-0.5396 0.0000 4.7186
10.7830 0.0000 5.0425
```

Values from the calculation:
VASP energy = -5.003 eV per atom
volume = 246.7 Å³/cell
symmetry = No. 12